Record 1
First-principles (PBE) data for Ac2As3Pd4Rh after structural relaxation, as listed in the Alexandria database.

It has space group P-4m2 (No. 115), with a = 4.373 Å, b = 4.373 Å, c = 10.741 Å, α = 90.00°, β = 90.00° and γ = 90.00°. Symmetry generates all atoms from Ac at (0.000, 0.500, 0.242), As at (0.000, 0.000, 0.000), As at (0.000, 0.500, 0.626), Pd at (0.000, 0.000, 0.500), Pd at (0.000, 0.500, 0.856), Pd at (0.500, 0.500, 0.500) and Rh at (0.500, 0.500, 0.000).


Record 2
First-principles (PBE) data for FeIrBr2 after structural relaxation, as listed in the Alexandria database.

It has space group Cmm2 (No. 35), with a = 3.638 Å, b = 5.720 Å, c = 8.989 Å, α = 90.00°, β = 90.00° and γ = 90.00°. Symmetry generates all atoms from Fe at (0.000, 0.000, 0.000), Ir at (0.000, 0.500, 0.167), Br at (0.000, 0.000, 0.375) and Br at (0.000, 0.500, 0.803).

Its formation energy from raw total energies is 363 meV/atom.


Record 3
First-principles (PBE) data for ThCdPb after structural relaxation, as listed in the Alexandria database.

It has space group I4mm (No. 107), with a = 3.745 Å, b = 3.745 Å, c = 12.137 Å, α = 90.00°, β = 90.00° and γ = 90.00°. Symmetry generates all atoms from Th at (0.000, 0.000, 0.000), Cd at (0.000, 0.000, 0.668) and Pb at (0.000, 0.000, 0.311).


DFT total energy across the listed records, respectively: -5.796, -4.804, -4.091 eV per atom.
Magnetization across the listed records, respectively: 0.0, 3.9, 0.0 μB per formula unit.